Material: NaLiHg2
Method: DFT, PBEsol
State: optimized geometry

Cell lengths 4.922, 4.922, 4.922 Å; angles 60.00, 60.00, 60.00 degrees
Positions (direct):
Hg (0.250, 0.250, 0.250)
Li (0.000, 0.000, 0.000)
Hg (0.750, 0.750, 0.750)
Na (0.500, 0.500, 0.500)

## Properties
The volume is 21.08 Å³/atom. Its total energy is -5.63 eV for the cell shown. The density of states at the Fermi level is 0.371 states/eV/atom.